A geometry-optimized HfHS2Cl structure, computed with PBE.

Lattice parameters (Å, degrees): 3.9218 3.9218 4.6319 90.00 90.00 90.00
With the nearest neighbours (Å) after each atom.
Positions (direct):
Hf  0.0000  0.0000  0.0000  4 Cl 2.77, 8 S 3.03
H  0.5000  0.5000  0.5000  4 S 1.96
S  0.0000  0.5000  0.5000  2 H 1.96
S  0.5000  0.0000  0.5000  2 H 1.96
Cl  0.5000  0.5000  0.0000  2 H 2.32

* ΔE to the lowest computed polymorph: 484.7 meV/atom
* crystal system: tetragonal
* symmetry: P4/mmm, No. 123

A geometry-optimized HfHS2Cl structure, computed with PBE.

Lattice parameters (Å, degrees): 4.9189 4.9189 5.0812 90.00 90.00 90.00
With the nearest neighbours (Å) after each atom.
Positions (direct):
Hf  0.0000  0.0000  0.0000  4 S 2.46, 2 Cl 2.54
H  0.5000  0.5000  0.5000  4 Cl 3.48, 8 S 3.54
S  0.0000  0.5000  0.0000  2 Hf 2.46
S  0.5000  0.0000  0.0000  2 Hf 2.46
Cl  0.0000  0.0000  0.5000  2 Hf 2.54

* ΔE to the lowest computed polymorph: 0.0 meV/atom
* crystal system: tetragonal
* symmetry: P4/mmm, No. 123

A geometry-optimized HfSb2HCl structure, computed with PBE.

Lattice parameters (Å, degrees): 5.4447 5.4447 3.5037 90.00 90.00 90.00
With the nearest neighbours (Å) after each atom.
Positions (direct):
Hf  0.0000  0.0000  0.0000  2 H 1.75
Sb  0.0000  0.5000  0.5000  2 H 2.72
Sb  0.5000  0.0000  0.5000  2 H 2.72
H  0.0000  0.0000  0.5000  2 Hf 1.75
Cl  0.5000  0.5000  0.0000  8 Sb 3.24, 2 Cl 3.50

* electronic total energy: -4.575 eV/atom
* crystal system: tetragonal
* symmetry: P4/mmm, No. 123

A geometry-optimized HfTc2HCl structure, computed with PBE.

Lattice parameters (Å, degrees): 4.9770 4.9770 4.9912 90.00 90.00 90.00
With the nearest neighbours (Å) after each atom.
Positions (direct):
Hf  0.0000  0.0000  0.0000  4 Tc 2.49, 2 Cl 2.50
Tc  0.0000  0.5000  0.0000  2 Hf 2.49
Tc  0.5000  0.0000  0.0000  2 Hf 2.49
H  0.5000  0.5000  0.5000  4 Cl 3.52, 8 Tc 3.52
Cl  0.0000  0.0000  0.5000  2 Hf 2.50

* electronic total energy: -5.513 eV/atom
* crystal system: tetragonal
* symmetry: P4/mmm, No. 123

A geometry-optimized HfTlH2Cl8 structure, computed with PBE.

Lattice parameters (Å, degrees): 6.7818 7.1006 7.9095 88.23 88.88 88.90
With the nearest neighbours (Å) after each atom.
Positions (direct):
Hf  0.0000  0.0000  0.0000  6 Cl 2.44-2.48
Tl  0.0000  0.0000  0.5000  6 Cl 2.83-3.00
H  0.2520  0.3059  0.7088  1 Cl 1.34
H  0.7480  0.6941  0.2912  1 Cl 1.34
Cl  0.1918  0.8280  0.7819  1 Hf 2.48
Cl  0.2184  0.2683  0.9599  1 H 2.00
Cl  0.2201  0.8633  0.2201  1 Hf 2.48
Cl  0.2697  0.3246  0.5396  1 H 1.34
Cl  0.7303  0.6754  0.4604  1 H 1.34
Cl  0.7799  0.1367  0.7799  1 Hf 2.48
Cl  0.7816  0.7317  0.0401  1 H 2.00
Cl  0.8082  0.1720  0.2181  1 Hf 2.48

* electronic total energy: -3.920 eV/atom
* crystal system: triclinic
* symmetry: P-1, No. 2

A geometry-optimized HgHCl2 structure, computed with PBE.

Lattice parameters (Å, degrees): 4.5246 4.5246 7.2122 113.71 113.71 70.72
With the nearest neighbours (Å) after each atom.
Positions (direct):
Hg  0.0000  0.0000  0.0000  2 Cl 2.62
H  0.7935  0.7935  0.3375  1 Cl 1.31
Cl  0.5036  0.5036  0.0117  1 H 2.27
Cl  0.9842  0.9842  0.4976  1 H 1.31

* ΔE to the lowest computed polymorph: 0.0 meV/atom
* crystal system: monoclinic
* symmetry: Cm, No. 8

A geometry-optimized Hg2HCl2 structure, computed with PBE.

Lattice parameters (Å, degrees): 4.1316 4.2368 8.4413 101.69 91.28 117.63
With the nearest neighbours (Å) after each atom.
Positions (direct):
Hg  0.2334  0.1019  0.3632  1 H 1.82
Hg  0.7666  0.8981  0.6368  1 H 1.82
H  0.5000  0.0000  0.5000  2 Hg 1.82
Cl  0.1056  0.7008  0.8115  1 Hg 2.52
Cl  0.8944  0.2992  0.1885  1 Hg 2.52

* electronic total energy: -1.736 eV/atom
* crystal system: triclinic
* symmetry: P-1, No. 2

A geometry-optimized HgHCl2 structure, computed with PBE.

Lattice parameters (Å, degrees): 6.5785 6.5785 6.5785 41.70 41.70 41.70
With the nearest neighbours (Å) after each atom.
Positions (direct):
Hg  0.0000  0.0000  0.0000  6 Cl 3.06
H  0.5000  0.5000  0.5000  2 Cl 1.56
Cl  0.4131  0.4131  0.4131  1 H 1.56
Cl  0.5869  0.5869  0.5869  1 H 1.56

* ΔE to the lowest computed polymorph: 115.9 meV/atom
* crystal system: trigonal
* symmetry: R-3m, No. 166

A geometry-optimized HgH4Cl structure, computed with PBE.

Lattice parameters (Å, degrees): 6.7195 6.7195 4.3788 98.90 98.90 135.92
With the nearest neighbours (Å) after each atom.
Positions (direct):
Hg  0.0000  0.0000  0.0000  2 Cl 2.57
H  0.1198  0.7174  0.4704  1 H 0.75
H  0.2826  0.8802  0.5296  1 H 0.75
H  0.7174  0.1198  0.4704  1 H 0.75
H  0.8802  0.2826  0.5296  1 H 0.75
Cl  0.5000  0.5000  0.5000  2 Hg 2.57

* electronic total energy: -2.696 eV/atom
* crystal system: monoclinic
* symmetry: C2/m, No. 12

A geometry-optimized HgHCl2 structure, computed with PBE.

Lattice parameters (Å, degrees): 6.2599 6.2599 6.2599 123.64 123.64 83.80
With the nearest neighbours (Å) after each atom.
Positions (direct):
Hg  0.0000  0.0000  0.0000  4 Cl 2.91
Hg  0.7500  0.2500  0.5000  4 Cl 2.91
H  0.2500  0.7500  0.5000  4 Cl 2.02
H  0.5000  0.5000  0.0000  4 Cl 2.02
Cl  0.2508  0.6250  0.1258  2 H 2.02
Cl  0.3750  0.5008  0.6258  2 H 2.02
Cl  0.4992  0.1250  0.8742  2 H 2.02
Cl  0.8750  0.7492  0.3742  2 H 2.02

* ΔE to the lowest computed polymorph: 505.5 meV/atom
* crystal system: tetragonal
* symmetry: I-42d, No. 122

A geometry-optimized HgHCl structure, computed with PBE.

Lattice parameters (Å, degrees): 3.9808 3.9811 10.8666 89.79 89.84 60.10
With the nearest neighbours (Å) after each atom.
Positions (direct):
Hg  0.0000  0.0000  0.0000  1 Hg 2.65, 3 Cl 2.68-2.76
Hg  0.0315  0.0229  0.2435  1 Hg 2.65, 3 Cl 2.71-2.78
H  0.0815  0.0401  0.6244  1 H 0.75
H  0.9454  0.9615  0.6189  1 H 0.75
Cl  0.6770  0.6766  0.8639  3 Hg 2.68-2.76
Cl  0.6879  0.6816  0.3795  3 Hg 2.71-2.78

* ΔE to the lowest computed polymorph: 18.1 meV/atom
* crystal system: triclinic
* symmetry: P1, No. 1

A geometry-optimized Hg5H2Cl2 structure, computed with PBE.

Lattice parameters (Å, degrees): 7.3389 9.0328 9.7770 116.40 105.35 96.14
With the nearest neighbours (Å) after each atom.
Positions (direct):
Hg  0.0000  0.0000  0.0000  1 H 1.63
Hg  0.0225  0.7718  0.2024  1 H 2.99, 2 Hg 3.21-3.31
Hg  0.2267  0.1989  0.8520  3 Hg 3.32-3.43, 1 H 3.59
Hg  0.2588  0.2810  0.5475  1 H 1.63
Hg  0.4858  0.1580  0.1686  4 Hg 3.26-3.43, 3 H 3.39-3.47, 1 Cl 3.49
Hg  0.5470  0.7517  0.0221  1 H 1.63
Hg  0.6230  0.5057  0.5223  4 Hg 3.26-3.62, 2 H 3.44-3.54, 1 Cl 3.65
Hg  0.7155  0.0293  0.5458  1 H 1.63
Hg  0.7489  0.4208  0.8600  5 Hg 3.31-3.69, 1 H 3.64
Hg  0.9765  0.7447  0.5086  1 H 3.04, 3 Hg 3.21-3.32
H  0.0072  0.8237  0.8515  1 Hg 1.63
H  0.3164  0.1073  0.4396  1 Hg 1.63
H  0.6097  0.8101  0.9022  1 Hg 1.63
H  0.8121  0.0997  0.4472  1 Hg 1.63
Cl  0.1528  0.5182  0.7068  1 Hg 2.38
Cl  0.4573  0.6692  0.1993  1 Hg 2.37
Cl  0.5632  0.9401  0.6917  1 Hg 2.37
Cl  0.9770  0.2563  0.2108  1 Hg 2.38

* electronic total energy: -1.443 eV/atom
* crystal system: triclinic
* symmetry: P1, No. 1

It is found that the spin magnetization values, taken in the order of the records, are 0.00; 0.28; 0.00; 0.85; 0.00; 0.00; 0.00; 0.00; 0.00; 0.00; 0.00; 0.00 μB/atom.